# 1
Below is Tb2AlGa2Pt5 after structural relaxation, with properties calculated at the PBE-GGA level.

abc: 10.0361 10.0361 3.5531
angles: 90.00 90.00 90.00
Fractional positions:
1 Tb 0.1755 0.3245 0.0000
2 Tb 0.3245 0.8245 0.0000
3 Tb 0.6755 0.1755 0.0000
4 Tb 0.8245 0.6755 0.0000
5 Al 0.0000 0.0000 0.0000
6 Al 0.5000 0.5000 0.0000
7 Ga 0.1267 0.6267 0.0000
8 Ga 0.3733 0.1267 0.0000
9 Ga 0.6267 0.8733 0.0000
10 Ga 0.8733 0.3733 0.0000
11 Pt 0.0000 0.5000 0.5000
12 Pt 0.0473 0.8004 0.5000
13 Pt 0.1996 0.0473 0.5000
14 Pt 0.3004 0.5473 0.5000
15 Pt 0.4527 0.3004 0.5000
16 Pt 0.5000 0.0000 0.5000
17 Pt 0.5473 0.6996 0.5000
18 Pt 0.6996 0.4527 0.5000
19 Pt 0.8004 0.9527 0.5000
20 Pt 0.9527 0.1996 0.5000

Summary:
Fermi-level density of states = 9.38 states/eV/cell
electronic total energy = -116.99 eV/cell



# 2
Below is TbAlGaPt2 after structural relaxation, with properties calculated at the PBE-GGA level.

abc: 6.5470 6.5470 6.5470
angles: 144.46 144.46 51.14
Fractional positions:
1 Tb 0.0000 0.0000 0.0000
2 Al 0.7500 0.2500 0.5000
3 Ga 0.2500 0.7500 0.5000
4 Pt 0.3853 0.3853 0.0000
5 Pt 0.6147 0.6147 0.0000

Summary:
Fermi-level density of states = 2.24 states/eV/cell
electronic total energy = -28.64 eV/cell



# 3
Below is Tb3AlGa2Pt9 after structural relaxation, with properties calculated at the PBE-GGA level.

abc: 6.4794 6.4794 8.9328
angles: 90.00 90.00 120.00
Fractional positions:
1 Tb 0.0000 0.0000 0.0000
2 Tb 0.3333 0.6667 0.7369
3 Tb 0.6667 0.3333 0.2631
4 Al 0.0000 0.0000 0.5000
5 Ga 0.3333 0.6667 0.1868
6 Ga 0.6667 0.3333 0.8132
7 Pt 0.0000 0.5000 0.0000
8 Pt 0.1376 0.2751 0.2797
9 Pt 0.1376 0.8624 0.2797
10 Pt 0.2751 0.1376 0.7203
11 Pt 0.5000 0.0000 0.0000
12 Pt 0.5000 0.5000 0.0000
13 Pt 0.7249 0.8624 0.2797
14 Pt 0.8624 0.1376 0.7203
15 Pt 0.8624 0.7249 0.7203

Summary:
Fermi-level density of states = 5.52 states/eV/cell
electronic total energy = -87.71 eV/cell



# 4
Below is Tb2Al2GaPt5 after structural relaxation, with properties calculated at the PBE-GGA level.

abc: 9.8942 9.8942 3.6431
angles: 90.00 90.00 90.00
Fractional positions:
1 Tb 0.1775 0.3225 0.0000
2 Tb 0.3225 0.8225 0.0000
3 Tb 0.6775 0.1775 0.0000
4 Tb 0.8225 0.6775 0.0000
5 Al 0.1220 0.6220 0.0000
6 Al 0.3780 0.1220 0.0000
7 Al 0.6220 0.8780 0.0000
8 Al 0.8780 0.3780 0.0000
9 Ga 0.0000 0.0000 0.0000
10 Ga 0.5000 0.5000 0.0000
11 Pt 0.0000 0.5000 0.5000
12 Pt 0.0611 0.7941 0.5000
13 Pt 0.2059 0.0611 0.5000
14 Pt 0.2941 0.5611 0.5000
15 Pt 0.4389 0.2941 0.5000
16 Pt 0.5000 0.0000 0.5000
17 Pt 0.5611 0.7059 0.5000
18 Pt 0.7059 0.4389 0.5000
19 Pt 0.7941 0.9389 0.5000
20 Pt 0.9389 0.2059 0.5000

Summary:
Fermi-level density of states = 10.42 states/eV/cell
electronic total energy = -118.87 eV/cell



# 5
Below is Tb2AlGaPt6 after structural relaxation, with properties calculated at the PBE-GGA level.

abc: 8.3977 8.3977 8.3977
angles: 38.94 38.94 38.94
Fractional positions:
1 Tb 0.2026 0.2026 0.2026
2 Tb 0.7974 0.7974 0.7974
3 Al 0.5000 0.5000 0.5000
4 Ga 0.0000 0.0000 0.0000
5 Pt 0.2459 0.7480 0.7480
6 Pt 0.2520 0.2520 0.7541
7 Pt 0.2520 0.7541 0.2520
8 Pt 0.7480 0.2459 0.7480
9 Pt 0.7480 0.7480 0.2459
10 Pt 0.7541 0.2520 0.2520

Summary:
Fermi-level density of states = 4.06 states/eV/cell
electronic total energy = -61.32 eV/cell



# 6
Below is AlGaTcPt after structural relaxation, with properties calculated at the PBE-GGA level.

abc: 4.3278 4.3278 4.3278
angles: 60.00 60.00 60.00
Fractional positions:
1 Al 0.0000 0.0000 0.0000
2 Ga 0.5000 0.5000 0.5000
3 Tc 0.2500 0.2500 0.2500
4 Pt 0.7500 0.7500 0.7500

Summary:
Fermi-level density of states = 2.21 states/eV/cell
electronic total energy = -25.34 eV/cell



# 7
Below is Al2GaTcPt after structural relaxation, with properties calculated at the PBE-GGA level.

abc: 4.6365 4.6365 4.6849
angles: 90.00 90.00 90.00
Fractional positions:
1 Al 0.0000 0.5000 0.0000
2 Al 0.5000 0.0000 0.0000
3 Ga 0.0000 0.0000 0.5000
4 Tc 0.0000 0.0000 0.0000
5 Pt 0.5000 0.5000 0.5000

Summary:
Fermi-level density of states = 2.30 states/eV/cell
electronic total energy = -24.46 eV/cell



# 8
Below is ThAlGaPt after structural relaxation, with properties calculated at the PBE-GGA level.

abc: 5.7788 5.7788 5.7788
angles: 43.51 43.51 43.51
Fractional positions:
1 Th 0.0000 0.0000 0.0000
2 Al 0.7918 0.7918 0.7918
3 Ga 0.2139 0.2139 0.2139
4 Pt 0.4939 0.4939 0.4939

Summary:
Fermi-level density of states = 2.81 states/eV/cell
electronic total energy = -23.47 eV/cell



# 9
Below is Th2AlGaPt6 after structural relaxation, with properties calculated at the PBE-GGA level.

abc: 5.7062 5.7062 8.4021
angles: 109.99 109.99 59.99
Fractional positions:
1 Th 0.2095 0.2095 0.1275
2 Th 0.7905 0.7905 0.8725
3 Al 0.5000 0.5000 0.0000
4 Ga 0.0000 0.0000 0.5000
5 Pt 0.2466 0.7488 0.2434
6 Pt 0.2509 0.2509 0.7571
7 Pt 0.2512 0.7534 0.7566
8 Pt 0.7488 0.2466 0.2434
9 Pt 0.7491 0.7491 0.2429
10 Pt 0.7534 0.2512 0.7566

Summary:
Fermi-level density of states = 4.53 states/eV/cell
electronic total energy = -66.91 eV/cell



# 10
Below is ThAlGaPt3 after structural relaxation, with properties calculated at the PBE-GGA level.

abc: 7.0010 7.0010 5.6785
angles: 90.00 90.00 122.29
Fractional positions:
1 Th 0.2056 0.7944 0.7500
2 Th 0.7944 0.2056 0.2500
3 Al 0.4614 0.5386 0.7500
4 Al 0.5386 0.4614 0.2500
5 Ga 0.1294 0.8706 0.2500
6 Ga 0.8706 0.1294 0.7500
7 Pt 0.2099 0.2099 0.0000
8 Pt 0.2099 0.2099 0.5000
9 Pt 0.3289 0.6711 0.2500
10 Pt 0.6711 0.3289 0.7500
11 Pt 0.7901 0.7901 0.0000
12 Pt 0.7901 0.7901 0.5000

Summary:
Fermi-level density of states = 3.98 states/eV/cell
electronic total energy = -74.36 eV/cell



# 11
Below is ThAl2GaPt4 after structural relaxation, with properties calculated at the PBE-GGA level.

abc: 9.1514 9.1514 9.1514
angles: 27.24 27.24 27.24
Fractional positions:
1 Th 0.0000 0.0000 0.0000
2 Al 0.2400 0.2400 0.2400
3 Al 0.7600 0.7600 0.7600
4 Ga 0.5000 0.5000 0.5000
5 Pt 0.1341 0.1341 0.1341
6 Pt 0.4017 0.4017 0.4017
7 Pt 0.5983 0.5983 0.5983
8 Pt 0.8659 0.8659 0.8659

Summary:
Fermi-level density of states = 3.05 states/eV/cell
electronic total energy = -50.07 eV/cell



# 12
Below is ThAlGa2Pt4 after structural relaxation, with properties calculated at the PBE-GGA level.

abc: 9.0228 9.0228 9.0228
angles: 27.86 27.86 27.86
Fractional positions:
1 Th 0.0000 0.0000 0.0000
2 Al 0.5000 0.5000 0.5000
3 Ga 0.2437 0.2437 0.2437
4 Ga 0.7563 0.7563 0.7563
5 Pt 0.1360 0.1360 0.1360
6 Pt 0.4016 0.4016 0.4016
7 Pt 0.5984 0.5984 0.5984
8 Pt 0.8640 0.8640 0.8640

Summary:
Fermi-level density of states = 3.49 states/eV/cell
electronic total energy = -48.93 eV/cell



# 13
Below is ThAlGaPt2 after structural relaxation, with properties calculated at the PBE-GGA level.

abc: 6.3584 6.3584 6.3584
angles: 141.72 141.72 55.25
Fractional positions:
1 Th 0.0000 0.0000 0.0000
2 Al 0.7500 0.2500 0.5000
3 Ga 0.2500 0.7500 0.5000
4 Pt 0.3805 0.3805 0.0000
5 Pt 0.6195 0.6195 0.0000

Summary:
Fermi-level density of states = 3.35 states/eV/cell
electronic total energy = -31.38 eV/cell



# 14
Below is Th2Al3GaPt4 after structural relaxation, with properties calculated at the PBE-GGA level.

abc: 4.3140 4.3140 10.3496
angles: 90.00 90.00 90.00
Fractional positions:
1 Th 0.0000 0.5000 0.2473
2 Th 0.5000 0.0000 0.7527
3 Al 0.0000 0.0000 0.0000
4 Al 0.0000 0.5000 0.6265
5 Al 0.5000 0.0000 0.3735
6 Ga 0.5000 0.5000 0.0000
7 Pt 0.0000 0.0000 0.5000
8 Pt 0.0000 0.5000 0.8636
9 Pt 0.5000 0.0000 0.1364
10 Pt 0.5000 0.5000 0.5000

Summary:
Fermi-level density of states = 6.36 states/eV/cell
electronic total energy = -64.15 eV/cell



# 15
Below is Tm2AlGa2Pt5 after structural relaxation, with properties calculated at the PBE-GGA level.

abc: 9.6924 9.6924 3.7093
angles: 90.00 90.00 90.00
Fractional positions:
1 Tm 0.1739 0.3261 0.0000
2 Tm 0.3261 0.8261 0.0000
3 Tm 0.6739 0.1739 0.0000
4 Tm 0.8261 0.6739 0.0000
5 Al 0.0000 0.0000 0.0000
6 Al 0.5000 0.5000 0.0000
7 Ga 0.1261 0.6261 0.0000
8 Ga 0.3739 0.1261 0.0000
9 Ga 0.6261 0.8739 0.0000
10 Ga 0.8739 0.3739 0.0000
11 Pt 0.0000 0.5000 0.5000
12 Pt 0.0620 0.7989 0.5000
13 Pt 0.2011 0.0620 0.5000
14 Pt 0.2989 0.5620 0.5000
15 Pt 0.4380 0.2989 0.5000
16 Pt 0.5000 0.0000 0.5000
17 Pt 0.5620 0.7011 0.5000
18 Pt 0.7011 0.4380 0.5000
19 Pt 0.7989 0.9380 0.5000
20 Pt 0.9380 0.2011 0.5000

Summary:
Fermi-level density of states = 9.98 states/eV/cell
electronic total energy = -116.75 eV/cell



# 16
Below is Tm2Al2GaPt5 after structural relaxation, with properties calculated at the PBE-GGA level.

abc: 9.7736 9.7736 3.6468
angles: 90.00 90.00 90.00
Fractional positions:
1 Tm 0.1763 0.3237 0.0000
2 Tm 0.3237 0.8237 0.0000
3 Tm 0.6763 0.1763 0.0000
4 Tm 0.8237 0.6763 0.0000
5 Al 0.1229 0.6229 0.0000
6 Al 0.3771 0.1229 0.0000
7 Al 0.6229 0.8771 0.0000
8 Al 0.8771 0.3771 0.0000
9 Ga 0.0000 0.0000 0.0000
10 Ga 0.5000 0.5000 0.0000
11 Pt 0.0000 0.5000 0.5000
12 Pt 0.0645 0.7949 0.5000
13 Pt 0.2051 0.0645 0.5000
14 Pt 0.2949 0.5645 0.5000
15 Pt 0.4355 0.2949 0.5000
16 Pt 0.5000 0.0000 0.5000
17 Pt 0.5645 0.7051 0.5000
18 Pt 0.7051 0.4355 0.5000
19 Pt 0.7949 0.9355 0.5000
20 Pt 0.9355 0.2051 0.5000

Summary:
Fermi-level density of states = 9.27 states/eV/cell
electronic total energy = -118.75 eV/cell



# 17
Below is Tm2AlGa3Pt4 after structural relaxation, with properties calculated at the PBE-GGA level.

abc: 4.0618 4.0618 11.1123
angles: 90.00 90.00 90.00
Fractional positions:
1 Tm 0.0000 0.5000 0.2486
2 Tm 0.5000 0.0000 0.7514
3 Al 0.0000 0.0000 0.5000
4 Ga 0.0000 0.5000 0.8638
5 Ga 0.5000 0.0000 0.1362
6 Ga 0.5000 0.5000 0.5000
7 Pt 0.0000 0.0000 0.0000
8 Pt 0.0000 0.5000 0.6412
9 Pt 0.5000 0.0000 0.3588
10 Pt 0.5000 0.5000 0.0000

Summary:
Fermi-level density of states = 3.07 states/eV/cell
electronic total energy = -55.79 eV/cell



# 18
Below is UAlGaPt3 after structural relaxation, with properties calculated at the PBE-GGA level.

abc: 8.4960 8.4960 5.5995
angles: 90.00 90.00 141.42
Fractional positions:
1 U 0.2055 0.7945 0.7500
2 U 0.7945 0.2055 0.2500
3 Al 0.4073 0.5927 0.2500
4 Al 0.5927 0.4073 0.7500
5 Ga 0.0978 0.9022 0.2500
6 Ga 0.9022 0.0978 0.7500
7 Pt 0.2489 0.2489 0.0000
8 Pt 0.2489 0.2489 0.5000
9 Pt 0.2533 0.7467 0.2500
10 Pt 0.7467 0.2533 0.7500
11 Pt 0.7511 0.7511 0.0000
12 Pt 0.7511 0.7511 0.5000

Summary:
Fermi-level density of states = 13.83 states/eV/cell
electronic total energy = -78.90 eV/cell



# 19
Below is AlVGaPt2 after structural relaxation, with properties calculated at the PBE-GGA level.

abc: 4.5299 4.5299 4.5666
angles: 90.00 90.00 90.00
Fractional positions:
1 Al 0.0000 0.0000 0.0000
2 V 0.0000 0.0000 0.5000
3 Ga 0.5000 0.5000 0.5000
4 Pt 0.0000 0.5000 0.0000
5 Pt 0.5000 0.0000 0.0000

Summary:
Fermi-level density of states = 4.32 states/eV/cell
electronic total energy = -25.08 eV/cell



# 20
Below is Y2AlGa3Pt4 after structural relaxation, with properties calculated at the PBE-GGA level.

abc: 4.1104 4.1104 11.0208
angles: 90.00 90.00 90.00
Fractional positions:
1 Y 0.0000 0.5000 0.2485
2 Y 0.5000 0.0000 0.7515
3 Al 0.0000 0.0000 0.5000
4 Ga 0.0000 0.5000 0.8643
5 Ga 0.5000 0.0000 0.1357
6 Ga 0.5000 0.5000 0.5000
7 Pt 0.0000 0.0000 0.0000
8 Pt 0.0000 0.5000 0.6383
9 Pt 0.5000 0.0000 0.3617
10 Pt 0.5000 0.5000 0.0000

Summary:
Fermi-level density of states = 3.59 states/eV/cell
electronic total energy = -60.01 eV/cell